# 1
# LaAlPd4, relaxed, DFT GGA-PBE
# Energy above the most stable polymorph in this dataset ... 149.5 meV/atom
# Electronic total energy ... -5.530 eV per atom
# Calculated formation energy ... -0.62 eV per atom
# Density ... 8.78 g/cm3
data_LaAlPd4
_chemical_formula_sum 'La4 Al4 Pd16'
_cell_length_a 7.649
_cell_length_b 7.649
_cell_length_c 7.649
_cell_angle_alpha 90.00
_cell_angle_beta 90.00
_cell_angle_gamma 90.00
_symmetry_space_group_name_H-M 'F -4 3 m'
_symmetry_Int_Tables_number 216
_symmetry_space_group_name_Hall 'F -4 2 3'
loop_
_atom_site_label
_atom_site_fract_x
_atom_site_fract_y
_atom_site_fract_z
_atom_site_occupancy
La1 0.000 0.000 0.000 1
Al1 0.250 0.250 0.750 1
Pd1 0.124 0.124 0.376 1

# 2
# Ce5TmRu4, relaxed, DFT GGA-PBE
# Electronic total energy ... -7.308 eV per atom
# Calculated formation energy ... -0.18 eV per atom
# Density ... 8.30 g/cm3
data_Ce5TmRu4
_chemical_formula_sum 'Ce10 Tm2 Ru8'
_cell_length_a 7.928
_cell_length_b 9.456
_cell_length_c 6.797
_cell_angle_alpha 90.00
_cell_angle_beta 90.00
_cell_angle_gamma 90.00
_symmetry_space_group_name_H-M 'P m m n'
_symmetry_Int_Tables_number 59
loop_
_symmetry_equiv_pos_as_xyz
'x,y,z'
'-x,-y,-z'
'-x+1/2,-y+1/2,z'
'x+1/2,y+1/2,-z'
'x+1/2,-y,-z'
'-x+1/2,y,z'
'-x,y+1/2,-z'
'x,-y+1/2,z'
loop_
_atom_site_label
_atom_site_fract_x
_atom_site_fract_y
_atom_site_fract_z
_atom_site_occupancy
Ce1 0.016 0.059 0.222 1
Ce2 0.250 0.750 0.396 1
Tm1 0.250 0.250 0.753 1
Ru1 0.072 0.750 0.014 1
Ru2 0.250 0.007 0.489 1

# 3
# La4Hg2Rh, relaxed, DFT GGA-PBE
# Energy above the most stable polymorph in this dataset ... 0.0 meV/atom
# Electronic total energy ... -4.457 eV per atom
# Calculated formation energy ... -0.51 eV per atom
# Density ... 8.25 g/cm3
data_La4Hg2Rh
_chemical_formula_sum 'La8 Hg4 Rh2'
_cell_length_a 11.387
_cell_length_b 4.805
_cell_length_c 8.750
_cell_angle_alpha 90.00
_cell_angle_beta 116.94
_cell_angle_gamma 90.00
_symmetry_space_group_name_H-M 'C 1 2/m 1'
_symmetry_Int_Tables_number 12
_symmetry_space_group_name_Hall '-C 2y'
loop_
_atom_site_label
_atom_site_fract_x
_atom_site_fract_y
_atom_site_fract_z
_atom_site_occupancy
La1 0.074 0.000 0.350 1
La2 0.172 0.500 0.064 1
Hg1 0.138 0.500 0.663 1
Rh1 0.000 0.000 0.000 1

# 4
# Ta3MoOs, relaxed, DFT GGA-PBE
# Energy above the most stable polymorph in this dataset ... 2165.4 meV/atom
# Electronic total energy ... -9.716 eV per atom
# Calculated formation energy ... 1.81 eV per atom
# Density ... 13.12 g/cm3
data_Ta3MoOs
_chemical_formula_sum 'Ta3 Mo1 Os1'
_cell_length_a 4.716
_cell_length_b 4.716
_cell_length_c 4.716
_cell_angle_alpha 90.00
_cell_angle_beta 90.00
_cell_angle_gamma 90.00
_symmetry_space_group_name_H-M 'P m -3 m'
_symmetry_Int_Tables_number 221
_symmetry_space_group_name_Hall '-P 4 2 3'
loop_
_atom_site_label
_atom_site_fract_x
_atom_site_fract_y
_atom_site_fract_z
_atom_site_occupancy
Ta1 0.000 0.000 0.500 1
Mo1 0.000 0.000 0.000 1
Os1 0.500 0.500 0.500 1